1.
! K2PrGaSe4, optimized geometry, DFT PBE; values from VASP
&SYSTEM
  ibrav = 0, nat = 16, ntyp = 4
/
ATOMIC_SPECIES
K 39.10 K.upf
Pr 140.91 Pr.upf
Ga 69.72 Ga.upf
Se 78.96 Se.upf
ATOMIC_POSITIONS crystal
K 0.000 0.000 0.000
K 0.000 0.000 0.500
K 0.000 0.500 0.000
K 0.500 0.000 0.500
Pr 0.000 0.500 0.500
Pr 0.500 0.000 0.000
Ga 0.500 0.500 0.000
Ga 0.500 0.500 0.500
Se 0.262 0.732 0.979
Se 0.268 0.738 0.521
Se 0.295 0.308 0.525
Se 0.308 0.295 0.025
Se 0.692 0.705 0.975
Se 0.705 0.692 0.475
Se 0.732 0.262 0.479
Se 0.738 0.268 0.021
CELL_PARAMETERS angstrom
6.045 -6.236 0.000
6.045 6.236 0.000
-5.675 0.000 6.198
! - Energy relative to the elements, uncorrected: -1.14 eV/atom
! - Magnetization: 0.000 μB per formula unit

2.
! K3Pr3GaSe8, optimized geometry, DFT PBE; values from VASP
&SYSTEM
  ibrav = 0, nat = 15, ntyp = 4
/
ATOMIC_SPECIES
K 39.10 K.upf
Pr 140.91 Pr.upf
Ga 69.72 Ga.upf
Se 78.96 Se.upf
ATOMIC_POSITIONS crystal
K 0.000 0.000 0.000
K 0.000 0.500 0.000
K 0.500 0.000 0.000
Pr 0.000 0.500 0.500
Pr 0.500 0.000 0.500
Pr 0.500 0.500 0.500
Ga 0.000 0.000 0.500
Se 0.216 0.216 0.695
Se 0.217 0.761 0.696
Se 0.239 0.783 0.304
Se 0.262 0.262 0.286
Se 0.738 0.738 0.714
Se 0.761 0.217 0.696
Se 0.783 0.239 0.304
Se 0.784 0.784 0.305
CELL_PARAMETERS angstrom
7.375 -4.255 0.000
7.375 4.255 0.000
-4.919 0.000 7.892
! - Energy relative to the elements, uncorrected: -1.36 eV/atom
! - Magnetization: 0.000 μB per formula unit

3.
! K2PrGaTe4, optimized geometry, DFT PBE; values from VASP
&SYSTEM
  ibrav = 0, nat = 16, ntyp = 4
/
ATOMIC_SPECIES
K 39.10 K.upf
Pr 140.91 Pr.upf
Ga 69.72 Ga.upf
Te 127.60 Te.upf
ATOMIC_POSITIONS crystal
K 0.000 0.000 0.000
K 0.000 0.000 0.500
K 0.000 0.500 0.000
K 0.500 0.000 0.500
Pr 0.000 0.500 0.500
Pr 0.500 0.000 0.000
Ga 0.500 0.500 0.000
Ga 0.500 0.500 0.500
Te 0.259 0.736 0.982
Te 0.264 0.741 0.518
Te 0.293 0.308 0.527
Te 0.308 0.293 0.027
Te 0.692 0.707 0.973
Te 0.707 0.692 0.473
Te 0.736 0.259 0.482
Te 0.741 0.264 0.018
CELL_PARAMETERS angstrom
6.480 -6.715 0.000
6.480 6.715 0.000
-6.034 0.000 6.619
! - Energy relative to the elements, uncorrected: -0.87 eV/atom
! - Magnetization: 0.000 μB per formula unit

4.
! KGa5Pt2, optimized geometry, DFT PBE; values from VASP
&SYSTEM
  ibrav = 0, nat = 8, ntyp = 3
/
ATOMIC_SPECIES
K 39.10 K.upf
Ga 69.72 Ga.upf
Pt 195.08 Pt.upf
ATOMIC_POSITIONS crystal
K 0.000 0.000 0.000
Ga 0.151 0.351 0.800
Ga 0.449 0.649 0.800
Ga 0.500 0.000 0.500
Ga 0.551 0.351 0.200
Ga 0.849 0.649 0.200
Pt 0.269 0.769 0.500
Pt 0.731 0.231 0.500
CELL_PARAMETERS angstrom
-2.065 3.687 5.255
2.065 -3.687 5.255
2.065 3.687 -5.255
! - Calculated formation energy: -42 kJ per mole of atoms
! - Magnetization: 0.000 μB per formula unit

5.
! KGa5Pt3, optimized geometry, DFT PBE; values from VASP
&SYSTEM
  ibrav = 0, nat = 18, ntyp = 3
/
ATOMIC_SPECIES
K 39.10 K.upf
Ga 69.72 Ga.upf
Pt 195.08 Pt.upf
ATOMIC_POSITIONS crystal
K 0.166 0.834 0.750
K 0.834 0.166 0.250
Ga 0.000 0.000 0.000
Ga 0.000 0.000 0.500
Ga 0.204 0.796 0.070
Ga 0.204 0.796 0.430
Ga 0.451 0.549 0.652
Ga 0.451 0.549 0.848
Ga 0.549 0.451 0.152
Ga 0.549 0.451 0.348
Ga 0.796 0.204 0.570
Ga 0.796 0.204 0.930
Pt 0.113 0.887 0.250
Pt 0.389 0.611 0.032
Pt 0.389 0.611 0.468
Pt 0.611 0.389 0.532
Pt 0.611 0.389 0.968
Pt 0.887 0.113 0.750
CELL_PARAMETERS angstrom
2.075 -6.589 0.000
2.075 6.589 0.000
0.000 0.000 13.172
! - Calculated formation energy: -49 kJ per mole of atoms
! - Magnetization: 0.000 μB per formula unit

6.
! KGa3Pt, optimized geometry, DFT PBE; values from VASP
&SYSTEM
  ibrav = 0, nat = 5, ntyp = 3
/
ATOMIC_SPECIES
K 39.10 K.upf
Ga 69.72 Ga.upf
Pt 195.08 Pt.upf
ATOMIC_POSITIONS crystal
K 0.000 0.000 0.000
Ga 0.254 0.754 0.509
Ga 0.601 0.601 0.202
Ga 0.754 0.254 0.509
Pt 0.362 0.362 0.727
CELL_PARAMETERS angstrom
3.230 -3.208 0.000
3.230 3.208 0.000
-3.192 0.000 5.307
! - Calculated formation energy: -34 kJ per mole of atoms
! - Magnetization: 0.000 μB per formula unit